Below is P2PtAu after structural relaxation, with properties calculated at the PBE level.

Its density of states at the Fermi level is 2.5 states/eV/f.u. The value obtained for the energy is -5.033 eV per atom. The energy of formation from the pure elements comes out at 0.1 kJ per mole of atoms. The calculation puts the polymorph energy (0 for the lowest one) at 0.197 eV per atom.

The structure belongs to space group R-3m (No. 166, hexagonal axes); the cell edges are 3.5699, 3.5699 and 18.4751 Å and the angles 90.00°, 90.00° and 120.00°. The inequivalent atoms are P at (0.0000, 0.0000, 0.2402), Pt at (0.0000, 0.0000, 0.5000) and Au at (0.0000, 0.0000, 0.0000).

---

Below is CaBeRh3 after structural relaxation, with properties calculated at the PBE level.

Its density of states at the Fermi level is 5.5 states/eV/f.u. The value obtained for the energy is -3.795 eV per atom. The energy of formation from the pure elements comes out at 170.0 kJ per mole of atoms. The calculation puts the polymorph energy (0 for the lowest one) at 1.977 eV per atom.

The structure belongs to space group Pm-3m (No. 221); the cell edges are 4.700, 4.700 and 4.700 Å and the angles 90.00°, 90.00° and 90.00°. The inequivalent atoms are Ca at (0.000, 0.000, 0.000), Be at (0.500, 0.500, 0.500) and Rh at (0.000, 0.000, 0.500).

---

Below is Pm8PrEr2 after structural relaxation, with properties calculated at the PBE level.

Its density of states at the Fermi level is 14.1 states/eV/f.u. The value obtained for the energy is -4.580 eV per atom. The energy of formation from the pure elements comes out at 13.4 kJ per mole of atoms. The calculation puts the polymorph energy (0 for the lowest one) at 0.000 eV per atom.

The structure belongs to space group C2/m (No. 12); the cell edges are 12.012, 7.097 and 9.116 Å and the angles 90.00°, 102.45° and 90.00°. The inequivalent atoms are Pm at (0.057, 0.225, 0.329), Pm at (0.155, 0.000, 0.002), Pm at (0.208, 0.000, 0.661), Pr at (0.000, 0.500, 0.000) and Er at (0.168, 0.500, 0.652).

---

Below is PrSm8Dy2 after structural relaxation, with properties calculated at the PBE level.

Its density of states at the Fermi level is 14.5 states/eV/f.u. The value obtained for the energy is -4.561 eV per atom. The energy of formation from the pure elements comes out at 13.7 kJ per mole of atoms. The calculation puts the polymorph energy (0 for the lowest one) at 0.000 eV per atom.

The structure belongs to space group C2/m (No. 12); the cell edges are 11.967, 7.090 and 9.110 Å and the angles 90.00°, 102.67° and 90.00°. The inequivalent atoms are Pr at (0.000, 0.000, 0.000), Sm at (0.057, 0.275, 0.327), Sm at (0.154, 0.500, 0.002), Sm at (0.207, 0.500, 0.658) and Dy at (0.168, 0.000, 0.651).

---

Below is KLiHg2 after structural relaxation, with properties calculated at the PBE level.

Its density of states at the Fermi level is 1.6 states/eV/f.u. The value obtained for the energy is -1.054 eV per atom. The energy of formation from the pure elements comes out at -14.5 kJ per mole of atoms. The calculation puts the polymorph energy (0 for the lowest one) at 0.117 eV per atom.

The structure belongs to space group P4/mmm (No. 123); the cell edges are 5.465, 5.465 and 3.861 Å and the angles 90.00°, 90.00° and 90.00°. The inequivalent atoms are K at (0.000, 0.000, 0.000), Li at (0.500, 0.500, 0.000) and Hg at (0.000, 0.500, 0.500).

---

Below is K2Li after structural relaxation, with properties calculated at the PBE level.

Its density of states at the Fermi level is 2.0 states/eV/f.u. The value obtained for the energy is -1.241 eV per atom. The energy of formation from the pure elements comes out at 12.4 kJ per mole of atoms. The calculation puts the polymorph energy (0 for the lowest one) at 0.032 eV per atom.

The structure belongs to space group P-62m (No. 189); the cell edges are 11.0001, 11.0001 and 4.6455 Å and the angles 90.00°, 90.00° and 120.00°. The inequivalent atoms are K at (0.0000, 0.2696, 0.0000), K at (0.0000, 0.6060, 0.5000), Li at (0.0000, 0.0000, 0.5000) and Li at (0.3333, 0.6667, 0.0000).

---

Below is Tb2Pr12Dy5 after structural relaxation, with properties calculated at the PBE level.

Its density of states at the Fermi level is 30.0 states/eV/f.u. The value obtained for the energy is -4.551 eV per atom. The energy of formation from the pure elements comes out at 16.0 kJ per mole of atoms. The calculation puts the polymorph energy (0 for the lowest one) at 0.040 eV per atom.

The structure belongs to space group C2/m (No. 12); the cell edges are 19.376, 7.596 and 10.092 Å and the angles 90.00°, 116.91° and 90.00°. The inequivalent atoms are Tb at (0.000, 0.200, 0.000), Pr at (0.003, 0.500, 0.209), Pr at (0.009, 0.000, 0.332), Pr at (0.161, 0.251, 0.849), Pr at (0.165, 0.262, 0.497), Dy at (0.000, 0.500, 0.500), Dy at (0.175, 0.500, 0.172) and Dy at (0.179, 0.000, 0.195).

---

Below is Pr2UGeRh6 after structural relaxation, with properties calculated at the PBE level.

Its density of states at the Fermi level is 6.6 states/eV/f.u. The value obtained for the energy is -7.516 eV per atom. The energy of formation from the pure elements comes out at -53.9 kJ per mole of atoms.

The structure belongs to space group P-1 (No. 2); the cell edges are 5.606, 6.415 and 6.614 Å and the angles 107.07°, 104.10° and 109.22°. The inequivalent atoms are Pr at (0.034, 0.168, 0.306), U at (0.500, 0.500, 0.000), Ge at (0.500, 0.000, 0.500), Rh at (0.005, 0.369, 0.770), Rh at (0.386, 0.844, 0.085) and Rh at (0.404, 0.662, 0.644).

---

Below is PmMgScGe after structural relaxation, with properties calculated at the PBE level.

Its density of states at the Fermi level is 3.5 states/eV/f.u. The value obtained for the energy is -4.668 eV per atom. The energy of formation from the pure elements comes out at -33.2 kJ per mole of atoms.

The structure belongs to space group F-43m (No. 216); the cell edges are 7.149, 7.149 and 7.149 Å and the angles 90.00°, 90.00° and 90.00°. The inequivalent atoms are Pm at (0.000, 0.000, 0.000), Mg at (0.250, 0.250, 0.250), Sc at (0.000, 0.000, 0.500) and Ge at (0.250, 0.250, 0.750).

---

Below is Ga2PN after structural relaxation, with properties calculated at the PBE level.

Its density of states at the Fermi level is 0.5 states/eV/f.u. The value obtained for the energy is -4.921 eV per atom. Its formation energy without anion corrections is 0.026 eV/atom. The calculation puts the polymorph energy (0 for the lowest one) at 0.334 eV per atom.

The structure belongs to space group Pm (No. 6); the cell edges are 4.797, 2.694 and 5.066 Å and the angles 90.00°, 94.18° and 90.00°. The inequivalent atoms are Ga at (0.000, 0.000, 0.000), Ga at (0.022, 0.500, 0.480), P at (0.490, 0.000, 0.832) and N at (0.463, 0.500, 0.624).

---

Below is NdScW2N6 after structural relaxation, with properties calculated at the PBE level.

Its density of states at the Fermi level is 0.0 states/eV/f.u. The value obtained for the energy is -9.602 eV per atom. Its formation energy without anion corrections is -0.906 eV/atom.

The structure belongs to space group C2/c (No. 15); the cell edges are 11.468, 9.709 and 6.389 Å and the angles 90.00°, 115.46° and 90.00°. The inequivalent atoms are Nd at (0.000, 0.101, 0.250), Sc at (0.000, 0.271, 0.750), W at (0.205, 0.417, 0.176), N at (0.116, 0.112, 0.680), N at (0.119, 0.257, 0.133) and N at (0.148, 0.464, 0.859).

---

Below is ScSi5 after structural relaxation, with properties calculated at the PBE level.

Its density of states at the Fermi level is 1.5 states/eV/f.u. The value obtained for the energy is -5.612 eV per atom. Its formation energy without anion corrections is -0.038 eV/atom. The calculation puts the polymorph energy (0 for the lowest one) at 0.000 eV per atom.

The structure belongs to space group Cm (No. 8); the cell edges are 9.795, 3.564 and 5.690 Å and the angles 90.00°, 104.80° and 90.00°. The inequivalent atoms are Sc at (0.000, 0.000, 0.000), Si at (0.066, 0.000, 0.563), Si at (0.155, 0.500, 0.365), Si at (0.214, 0.500, 0.961), Si at (0.340, 0.000, 0.640) and Si at (0.349, 0.000, 0.221).

---

Below is RbNbS2O8 after structural relaxation, with properties calculated at the PBE level.

Its density of states at the Fermi level is 2.3 states/eV/f.u. The value obtained for the energy is -6.548 eV per atom. Its formation energy without anion corrections is -1.635 eV/atom.

The structure belongs to space group P-3 (No. 147); the cell edges are 5.0223, 5.0223 and 8.7421 Å and the angles 90.00°, 90.00° and 120.00°. The inequivalent atoms are Rb at (0.0000, 0.0000, 0.0000), Nb at (0.0000, 0.0000, 0.5000), S at (0.3333, 0.6667, 0.7113), O at (0.0737, 0.3680, 0.6523) and O at (0.3333, 0.6667, 0.8784).

---

Below is Cd2InHg after structural relaxation, with properties calculated at the PBE level.

Its density of states at the Fermi level is 0.8 states/eV/f.u. The value obtained for the energy is -1.190 eV per atom. The energy of formation from the pure elements comes out at 2.7 kJ per mole of atoms. The calculation puts the polymorph energy (0 for the lowest one) at 0.009 eV per atom.

The structure belongs to space group Pmmm (No. 47); the cell edges are 4.075, 4.950 and 4.976 Å and the angles 90.00°, 90.00° and 90.00°. The inequivalent atoms are Cd at (0.000, 0.000, 0.000), Cd at (0.500, 0.500, 0.000), In at (0.000, 0.500, 0.500) and Hg at (0.500, 0.000, 0.500).

---

Below is Li2AlCdN after structural relaxation, with properties calculated at the PBE level.

Its density of states at the Fermi level is 0.8 states/eV/f.u. The value obtained for the energy is -3.709 eV per atom. Its formation energy without anion corrections is -0.347 eV/atom.

The structure belongs to space group P4/mmm (No. 123); the cell edges are 4.385, 4.385 and 3.697 Å and the angles 90.00°, 90.00° and 90.00°. The inequivalent atoms are Li at (0.000, 0.500, 0.000), Al at (0.000, 0.000, 0.500), Cd at (0.500, 0.500, 0.500) and N at (0.000, 0.000, 0.000).